No. 1
# SbRh2Br PBEsol relaxed
data_SbRh2Br
_chemical_formula_sum 'Sb3 Rh6 Br3'
_symmetry_space_group_name_H-M 'R -3 m'
_symmetry_Int_Tables_number 166
_symmetry_space_group_name_Hall '-R 3 2"'
_cell_length_a 3.3018
_cell_length_b 3.3018
_cell_length_c 22.7917
_cell_angle_alpha 90.00
_cell_angle_beta 90.00
_cell_angle_gamma 120.00
loop_
_atom_site_label
_atom_site_type_symbol
_atom_site_fract_x
_atom_site_fract_y
_atom_site_fract_z
Sb1 Sb 0.0000 0.0000 0.0000
Rh1 Rh 0.0000 0.0000 0.2553
Br1 Br 0.0000 0.0000 0.5000
# - formation energy (no corrections) (eV per atom) = 0.03
# - N(E_F) (states/eV per cell) = 10.266
# - final energy (eV per atom) = -5.65
# - distance to the lowest polymorph of the same formula (eV/atom) = 0.0000
# - theoretical density (g/cm³) = 9.433

---

No. 2
# ZrTc PBEsol relaxed
data_ZrTc
_chemical_formula_sum 'Zr2 Tc2'
_symmetry_space_group_name_H-M 'P 63/m m c'
_symmetry_Int_Tables_number 194
_symmetry_space_group_name_Hall '-P 6c 2c'
_cell_length_a 3.1447
_cell_length_b 3.1447
_cell_length_c 8.2411
_cell_angle_alpha 90.00
_cell_angle_beta 90.00
_cell_angle_gamma 120.00
loop_
_atom_site_label
_atom_site_type_symbol
_atom_site_fract_x
_atom_site_fract_y
_atom_site_fract_z
Zr1 Zr 0.0000 0.0000 0.0000
Tc1 Tc 0.3333 0.6667 0.2500
# - N(E_F) (states/eV per cell) = 3.310
# - final energy (eV per atom) = -10.11
# - theoretical density (g/cm³) = 8.904
# - ΔH_f (0 K) (eV per atom) = 0.063

---

No. 3
# Zr2SnC PBEsol relaxed
data_Zr2SnC
_chemical_formula_sum 'Zr4 Sn2 C2'
_symmetry_space_group_name_H-M 'P 63/m m c'
_symmetry_Int_Tables_number 194
_symmetry_space_group_name_Hall '-P 6c 2c'
_cell_length_a 3.3423
_cell_length_b 3.3423
_cell_length_c 14.5641
_cell_angle_alpha 90.00
_cell_angle_beta 90.00
_cell_angle_gamma 120.00
loop_
_atom_site_label
_atom_site_type_symbol
_atom_site_fract_x
_atom_site_fract_y
_atom_site_fract_z
Zr1 Zr 0.3333 0.6667 0.0852
Sn1 Sn 0.3333 0.6667 0.7500
C1 C 0.0000 0.0000 0.0000
# - N(E_F) (states/eV per cell) = 2.504
# - final energy (eV per atom) = -8.90
# - theoretical density (g/cm³) = 7.382
# - ΔH_f (0 K) (eV per atom) = -0.879

---

No. 4
# AlAg7 PBEsol relaxed
data_AlAg7
_chemical_formula_sum 'Al4 Ag28'
_symmetry_space_group_name_H-M 'F m -3 m'
_symmetry_Int_Tables_number 225
_symmetry_space_group_name_Hall '-F 4 2 3'
_cell_length_a 8.0577
_cell_length_b 8.0577
_cell_length_c 8.0577
_cell_angle_alpha 90.00
_cell_angle_beta 90.00
_cell_angle_gamma 90.00
loop_
_atom_site_label
_atom_site_type_symbol
_atom_site_fract_x
_atom_site_fract_y
_atom_site_fract_z
Al1 Al 0.0000 0.0000 0.0000
Ag1 Ag 0.0000 0.0000 0.5000
Ag2 Ag 0.0000 0.2500 0.2500
# - N(E_F) (states/eV per cell) = 7.051
# - final energy (eV per atom) = -3.46
# - distance to the lowest polymorph of the same formula (eV/atom) = 0.0000
# - theoretical density (g/cm³) = 9.929
# - ΔH_f (0 K) (eV per atom) = -0.051

---

No. 5
# RhWAu2 PBEsol relaxed
data_RhWAu2
_chemical_formula_sum 'Rh1 W1 Au2'
_symmetry_space_group_name_H-M 'P m m m'
_symmetry_Int_Tables_number 47
_cell_length_a 2.8405
_cell_length_b 4.1045
_cell_length_c 5.3237
_cell_angle_alpha 90.00
_cell_angle_beta 90.00
_cell_angle_gamma 90.00
loop_
_symmetry_equiv_pos_as_xyz
'x,y,z'
'-x,-y,-z'
'-x,-y,z'
'x,y,-z'
'x,-y,-z'
'-x,y,z'
'-x,y,-z'
'x,-y,z'
loop_
_atom_site_label
_atom_site_type_symbol
_atom_site_fract_x
_atom_site_fract_y
_atom_site_fract_z
Rh1 Rh 0.0000 0.0000 0.0000
W1 W 0.0000 0.0000 0.5000
Au1 Au 0.5000 0.5000 0.2519
# - N(E_F) (states/eV per cell) = 2.515
# - final energy (eV per atom) = -7.20
# - distance to the lowest polymorph of the same formula (eV/atom) = 0.0491
# - theoretical density (g/cm³) = 18.210
# - ΔH_f (0 K) (eV per atom) = 0.251

---

No. 6
# CaC2N2O2 PBEsol relaxed
data_CaC2N2O2
_chemical_formula_sum 'Ca18 C36 N36 O36'
_symmetry_space_group_name_H-M 'R 3 c'
_symmetry_Int_Tables_number 161
_symmetry_space_group_name_Hall 'R 3 -2"c'
_cell_length_a 11.5053
_cell_length_b 11.5053
_cell_length_c 11.9626
_cell_angle_alpha 90.00
_cell_angle_beta 90.00
_cell_angle_gamma 120.00
loop_
_atom_site_label
_atom_site_type_symbol
_atom_site_fract_x
_atom_site_fract_y
_atom_site_fract_z
Ca1 Ca 0.0257 0.3393 0.0000
C1 C 0.0147 0.1219 0.5246
C2 C 0.0436 0.1310 0.7853
N1 N 0.1260 0.0153 0.0258
N2 N 0.1354 0.0454 0.2842
O1 O 0.0334 0.2427 0.5184
O2 O 0.0742 0.4980 0.4570
# - formation energy (no corrections) (eV per atom) = -1.32
# - N(E_F) (states/eV per cell) = 0.000
# - final energy (eV per atom) = -8.31
# - theoretical density (g/cm³) = 2.705